[1]
! PBE-GGA ScCuC2, optimized geometry; values from VASP
! * E: -6.1873 eV per atom
! * N(E_F): 2.654 states/eV/cell
! * space-group type: Fm-3m
! * energy of formation: 1032 meV/atom
&SYSTEM
  ibrav = 0, nat = 4, ntyp = 3
/
ATOMIC_SPECIES
Sc 44.96 Sc.upf
Cu 63.55 Cu.upf
C 12.01 C.upf
CELL_PARAMETERS angstrom
0.000 2.755 2.755
2.755 0.000 2.755
2.755 2.755 0.000
ATOMIC_POSITIONS crystal
Sc 0.000 0.000 0.000
Cu 0.500 0.500 0.500
C 0.250 0.250 0.250
C 0.750 0.750 0.750

***

[2]
! PBE-GGA Sc2CuC, optimized geometry; values from VASP
! * E: -6.4893 eV per atom
! * N(E_F): 4.679 states/eV/cell
! * space-group type: I-42d
! * energy of formation: 6 meV/atom
&SYSTEM
  ibrav = 0, nat = 8, ntyp = 3
/
ATOMIC_SPECIES
Sc 44.96 Sc.upf
Cu 63.55 Cu.upf
C 12.01 C.upf
CELL_PARAMETERS angstrom
-3.203 3.203 3.361
3.203 -3.203 3.361
3.203 3.203 -3.361
ATOMIC_POSITIONS crystal
Sc 0.058 0.625 0.933
Sc 0.375 0.308 0.433
Sc 0.692 0.125 0.067
Sc 0.875 0.942 0.567
Cu 0.250 0.750 0.500
Cu 0.500 0.500 0.000
C 0.000 0.000 0.000
C 0.750 0.250 0.500

***

[3]
! PBE-GGA Sc2CuC, optimized geometry; values from VASP
! * E: -5.5491 eV per atom
! * N(E_F): 4.408 states/eV/cell
! * space-group type: R-3m
! * energy of formation: 947 meV/atom
&SYSTEM
  ibrav = 0, nat = 4, ntyp = 3
/
ATOMIC_SPECIES
Sc 44.96 Sc.upf
Cu 63.55 Cu.upf
C 12.01 C.upf
CELL_PARAMETERS angstrom
1.707 0.985 7.994
-1.707 0.985 7.994
0.000 -1.971 7.994
ATOMIC_POSITIONS crystal
Sc 0.088 0.088 0.088
Sc 0.912 0.912 0.912
Cu 0.500 0.500 0.500
C 0.000 0.000 0.000